Entry 1:
Ba8Cd2Pd: optimized geometry, GGA-PBE.

Values from the calculation:
As for the density of states at the Fermi level: 14.766 states/eV/f.u. As for the relative energy among the computed polymorphs: 0.0302 eV per atom. Its symmetry is C2/m (12).

a b c (Å): 11.1156 11.1156 8.1025
angles (deg): 105.09 105.09 31.45
Last column: nearest neighbours and their distance in Å.
Sites, in units of the cell vectors:
1 Ba 0.0291 0.0291 0.3006  2 Pd 3.55, 1 Cd 3.57, 1 Ba 3.76
2 Ba 0.2124 0.2124 0.8113  3 Cd 3.55-3.78
3 Ba 0.3470 0.3470 0.5351  1 Pd 3.36, 3 Cd 3.68-3.75
4 Ba 0.4101 0.4101 0.0831  1 Pd 3.41
5 Ba 0.5899 0.5899 0.9169  1 Pd 3.41
6 Ba 0.6530 0.6530 0.4649  1 Pd 3.36, 3 Cd 3.68-3.75
7 Ba 0.7876 0.7876 0.1887  3 Cd 3.55-3.78
8 Ba 0.9709 0.9709 0.6994  2 Pd 3.55, 1 Cd 3.57, 1 Ba 3.76
9 Cd 0.1857 0.1857 0.2253  7 Ba 3.55-3.78
10 Cd 0.8143 0.8143 0.7747  7 Ba 3.55-3.78
11 Pd 0.5000 0.5000 0.5000  8 Ba 3.36-3.55

Entry 2:
Ba3Cd9Pd2: optimized geometry, GGA-PBE.

Values from the calculation:
As for the density of states at the Fermi level: 7.911 states/eV/f.u. Its symmetry is Immm (71).

a b c (Å): 9.3281 9.3281 9.3281
angles (deg): 149.57 108.30 79.85
Last column: nearest neighbours and their distance in Å.
Sites, in units of the cell vectors:
1 Ba 0.0000 0.0000 0.0000  12 Cd 3.52-3.76
2 Ba 0.3121 0.3121 0.0000  2 Pd 3.54, 12 Cd 3.56-3.89
3 Ba 0.6879 0.6879 0.0000  2 Pd 3.54, 12 Cd 3.56-3.89
4 Cd 0.0211 0.6659 0.3552  1 Pd 2.85, 3 Cd 2.96-3.16
5 Cd 0.1659 0.8830 0.2830  4 Cd 2.90-3.20, 2 Pd 2.97
6 Cd 0.3107 0.6659 0.6448  1 Pd 2.85, 3 Cd 2.96-3.16
7 Cd 0.4000 0.1170 0.2830  4 Cd 2.90-3.20, 2 Pd 2.97
8 Cd 0.5000 0.0000 0.5000  4 Cd 2.90
9 Cd 0.6000 0.8830 0.7170  4 Cd 2.90-3.20, 2 Pd 2.97
10 Cd 0.6893 0.3341 0.3552  1 Pd 2.85, 3 Cd 2.96-3.16
11 Cd 0.8341 0.1170 0.7170  4 Cd 2.90-3.20, 2 Pd 2.97
12 Cd 0.9789 0.3341 0.6448  1 Pd 2.85, 3 Cd 2.96-3.16
13 Pd 0.2898 0.5000 0.7898  6 Cd 2.85-2.97
14 Pd 0.7102 0.5000 0.2102  6 Cd 2.85-2.97

Entry 3:
Ba2Cd5Pd3: optimized geometry, GGA-PBE.

Values from the calculation:
As for the density of states at the Fermi level: 4.693 states/eV/f.u. As for the relative energy among the computed polymorphs: 0.0634 eV per atom. Its symmetry is P-4m2 (115).

a b c (Å): 4.5197 4.5197 12.6896
angles (deg): 90.00 90.00 90.00
Last column: nearest neighbours and their distance in Å.
Sites, in units of the cell vectors:
1 Ba 0.0000 0.5000 0.2162  6 Pd 3.37-3.55, 6 Cd 3.55-3.60
2 Ba 0.5000 0.0000 0.7838  6 Pd 3.37-3.55, 6 Cd 3.55-3.60
3 Cd 0.0000 0.0000 0.5000  8 Cd 2.98-3.20
4 Cd 0.0000 0.5000 0.6534  1 Pd 2.74, 4 Cd 2.98
5 Cd 0.5000 0.0000 0.3466  1 Pd 2.74, 4 Cd 2.98
6 Cd 0.5000 0.5000 0.0000  4 Pd 2.80
7 Cd 0.5000 0.5000 0.5000  8 Cd 2.98-3.20
8 Pd 0.0000 0.0000 0.0000  4 Pd 2.80
9 Pd 0.0000 0.5000 0.8691  3 Cd 2.74-2.80, 2 Pd 2.80
10 Pd 0.5000 0.0000 0.1309  3 Cd 2.74-2.80, 2 Pd 2.80

Entry 4:
BaCd12Pd4: optimized geometry, GGA-PBE.

Values from the calculation:
As for the density of states at the Fermi level: 9.017 states/eV/f.u. Its symmetry is Im-3 (204).

a b c (Å): 8.3327 8.3327 8.3327
angles (deg): 109.47 109.47 109.47
Last column: nearest neighbours and their distance in Å.
Sites, in units of the cell vectors:
1 Ba 0.0000 0.0000 0.0000  12 Cd 3.70
2 Cd 0.1664 0.5132 0.3468  2 Pd 2.70, 1 Cd 2.95
3 Cd 0.1664 0.8197 0.6532  2 Pd 2.70, 1 Cd 2.95
4 Cd 0.1803 0.3468 0.8336  2 Pd 2.70, 1 Cd 2.95
5 Cd 0.3468 0.1664 0.5132  2 Pd 2.70, 1 Cd 2.95
6 Cd 0.3468 0.8336 0.1803  2 Pd 2.70, 1 Cd 2.95
7 Cd 0.4868 0.6532 0.8336  2 Pd 2.70, 1 Cd 2.95
8 Cd 0.5132 0.3468 0.1664  2 Pd 2.70, 1 Cd 2.95
9 Cd 0.6532 0.1664 0.8197  2 Pd 2.70, 1 Cd 2.95
10 Cd 0.6532 0.8336 0.4868  2 Pd 2.70, 1 Cd 2.95
11 Cd 0.8197 0.6532 0.1664  2 Pd 2.70, 1 Cd 2.95
12 Cd 0.8336 0.1803 0.3468  2 Pd 2.70, 1 Cd 2.95
13 Cd 0.8336 0.4868 0.6532  2 Pd 2.70, 1 Cd 2.95
14 Pd 0.0000 0.0000 0.5000  6 Cd 2.70
15 Pd 0.0000 0.5000 0.0000  6 Cd 2.70
16 Pd 0.5000 0.0000 0.0000  6 Cd 2.70
17 Pd 0.5000 0.5000 0.5000  6 Cd 2.70

Entry 5:
BaCd10Pd2: optimized geometry, GGA-PBE.

Values from the calculation:
As for the density of states at the Fermi level: 5.574 states/eV/f.u. Its symmetry is Fmmm (69).

a b c (Å): 10.2189 7.9733 7.5707
angles (deg): 82.16 50.62 47.22
Last column: nearest neighbours and their distance in Å.
Sites, in units of the cell vectors:
1 Ba 0.0000 0.0000 0.0000  16 Cd 3.57-3.79, 4 Pd 3.99
2 Cd 0.0000 0.0000 0.5000  6 Cd 2.87-3.03
3 Cd 0.0165 0.3478 0.6522  2 Pd 2.91, 4 Cd 3.08-3.13
4 Cd 0.2749 0.4889 0.5111  2 Pd 2.86, 6 Cd 3.00-3.13
5 Cd 0.3478 0.0165 0.9835  2 Pd 2.91, 4 Cd 3.08-3.13
6 Cd 0.4889 0.2749 0.7251  2 Pd 2.86, 6 Cd 3.00-3.13
7 Cd 0.5000 0.5000 0.0000  6 Cd 2.87-3.03
8 Cd 0.5111 0.7251 0.2749  2 Pd 2.86, 6 Cd 3.00-3.13
9 Cd 0.6522 0.9835 0.0165  2 Pd 2.91, 4 Cd 3.08-3.13
10 Cd 0.7251 0.5111 0.4889  2 Pd 2.86, 6 Cd 3.00-3.13
11 Cd 0.9835 0.6522 0.3478  2 Pd 2.91, 4 Cd 3.08-3.13
12 Pd 0.0000 0.5000 0.0000  8 Cd 2.86-2.91, 2 Pd 2.87
13 Pd 0.5000 0.0000 0.5000  8 Cd 2.86-2.91, 2 Pd 2.87

Entry 6:
Ba7Cd2Pd2: optimized geometry, GGA-PBE.

Values from the calculation:
As for the density of states at the Fermi level: 10.123 states/eV/f.u. Its symmetry is Cmmm (65).

a b c (Å): 7.9168 7.9168 8.1165
angles (deg): 90.00 90.00 108.71
Last column: nearest neighbours and their distance in Å.
Sites, in units of the cell vectors:
1 Ba 0.0000 0.0000 0.0000  2 Pd 3.75
2 Ba 0.0000 0.5000 0.2591  2 Pd 3.17
3 Ba 0.0000 0.5000 0.7409  2 Pd 3.17
4 Ba 0.5000 0.0000 0.2591  2 Pd 3.17
5 Ba 0.5000 0.0000 0.7409  2 Pd 3.17
6 Ba 0.5000 0.5000 0.2444  2 Pd 3.34, 2 Cd 3.73
7 Ba 0.5000 0.5000 0.7556  2 Pd 3.34, 2 Cd 3.73
8 Cd 0.1637 0.1637 0.5000  1 Cd 3.02
9 Cd 0.8363 0.8363 0.5000  1 Cd 3.02
10 Pd 0.2915 0.7085 0.0000  6 Ba 3.17-3.34
11 Pd 0.7085 0.2915 0.0000  6 Ba 3.17-3.34

Entry 7:
Ba8Cd2Pd3: optimized geometry, GGA-PBE.

Values from the calculation:
As for the density of states at the Fermi level: 11.195 states/eV/f.u. Its symmetry is P2/m (10).

a b c (Å): 10.0360 5.6750 10.0618
angles (deg): 90.00 110.35 90.00
Last column: nearest neighbours and their distance in Å.
Sites, in units of the cell vectors:
1 Ba 0.1123 0.0000 0.3875  4 Pd 3.39-3.50, 2 Cd 3.68, 1 Ba 3.71
2 Ba 0.1289 0.5000 0.8588  3 Pd 3.39-3.42, 2 Cd 3.62-3.65
3 Ba 0.3584 0.5000 0.6284  3 Pd 3.37-3.42, 2 Cd 3.62-3.65
4 Ba 0.3836 0.0000 0.1168  2 Pd 3.38-3.39, 2 Cd 3.55
5 Ba 0.6164 0.0000 0.8832  2 Pd 3.38-3.39, 2 Cd 3.55
6 Ba 0.6416 0.5000 0.3716  3 Pd 3.37-3.42, 2 Cd 3.62-3.65
7 Ba 0.8711 0.5000 0.1412  3 Pd 3.39-3.42, 2 Cd 3.62-3.65
8 Ba 0.8877 0.0000 0.6125  4 Pd 3.39-3.50, 2 Cd 3.68, 1 Ba 3.71
9 Cd 0.2542 0.5000 0.2459  8 Ba 3.55-3.68
10 Cd 0.7458 0.5000 0.7541  8 Ba 3.55-3.68
11 Pd 0.0000 0.5000 0.5000  8 Ba 3.37-3.39
12 Pd 0.2577 0.0000 0.7576  8 Ba 3.38-3.50
13 Pd 0.7423 0.0000 0.2424  8 Ba 3.38-3.50

Entry 8:
Ba4Cd3Pd: optimized geometry, GGA-PBE.

Values from the calculation:
As for the density of states at the Fermi level: 5.630 states/eV/f.u. Its symmetry is Pmm2 (25).

a b c (Å): 4.7667 5.1036 12.6972
angles (deg): 90.00 90.00 90.00
Last column: nearest neighbours and their distance in Å.
Sites, in units of the cell vectors:
1 Ba 0.0000 0.0000 0.0000  2 Pd 3.33, 4 Cd 3.59
2 Ba 0.0000 0.5000 0.2634  3 Cd 3.45-3.69, 4 Pd 3.64
3 Ba 0.5000 0.0000 0.4663  1 Pd 3.59, 6 Cd 3.66-3.70
4 Ba 0.5000 0.5000 0.7701  7 Cd 3.63-3.77
5 Cd 0.0000 0.0000 0.6896  2 Cd 3.08
6 Cd 0.0000 0.5000 0.5540  2 Cd 3.08
7 Cd 0.5000 0.5000 0.0671  2 Pd 2.95
8 Pd 0.5000 0.0000 0.1834  2 Cd 2.95

Entry 9:
Ba2Cd2Pd15: optimized geometry, GGA-PBE.

Values from the calculation:
As for the density of states at the Fermi level: 22.935 states/eV/f.u. Its symmetry is R-3m (166).

a b c (Å): 7.1365 7.1365 7.1365
angles (deg): 82.56 82.56 82.56
Last column: nearest neighbours and their distance in Å.
Sites, in units of the cell vectors:
1 Ba 0.1517 0.1517 0.1517  18 Pd 3.34-3.71, 1 Cd 3.44
2 Ba 0.8483 0.8483 0.8483  18 Pd 3.34-3.71, 1 Cd 3.44
3 Cd 0.3998 0.3998 0.3998  1 Cd 2.78, 12 Pd 2.87-3.11
4 Cd 0.6002 0.6002 0.6002  1 Cd 2.78, 12 Pd 2.87-3.11
5 Pd 0.0000 0.5000 0.5000  8 Pd 2.71-2.72, 2 Cd 2.87
6 Pd 0.1554 0.1554 0.6520  8 Pd 2.71-2.88, 1 Cd 2.91
7 Pd 0.1554 0.6520 0.1554  8 Pd 2.71-2.88, 1 Cd 2.91
8 Pd 0.2047 0.5000 0.7953  8 Pd 2.72-2.88
9 Pd 0.2047 0.7953 0.5000  8 Pd 2.72-2.88
10 Pd 0.3480 0.8446 0.8446  8 Pd 2.71-2.88, 1 Cd 2.91
11 Pd 0.5000 0.0000 0.5000  8 Pd 2.71-2.72, 2 Cd 2.87
12 Pd 0.5000 0.2047 0.7953  8 Pd 2.72-2.88
13 Pd 0.5000 0.5000 0.0000  8 Pd 2.71-2.72, 2 Cd 2.87
14 Pd 0.5000 0.7953 0.2047  8 Pd 2.72-2.88
15 Pd 0.6520 0.1554 0.1554  8 Pd 2.71-2.88, 1 Cd 2.91
16 Pd 0.7953 0.2047 0.5000  8 Pd 2.72-2.88
17 Pd 0.7953 0.5000 0.2047  8 Pd 2.72-2.88
18 Pd 0.8446 0.3480 0.8446  8 Pd 2.71-2.88, 1 Cd 2.91
19 Pd 0.8446 0.8446 0.3480  8 Pd 2.71-2.88, 1 Cd 2.91

Entry 10:
Ba9CdPd3: optimized geometry, GGA-PBE.

Values from the calculation:
As for the density of states at the Fermi level: 9.764 states/eV/f.u. Its symmetry is P2_1/m (11).

a b c (Å): 8.0280 12.0372 13.3080
angles (deg): 90.00 95.84 90.00
Last column: nearest neighbours and their distance in Å.
Sites, in units of the cell vectors:
1 Ba 0.0813 0.2500 0.2001  2 Pd 3.25, 1 Cd 3.61
2 Ba 0.1544 0.5690 0.3789  2 Pd 3.17
3 Ba 0.1544 0.9310 0.3789  2 Pd 3.17
4 Ba 0.2035 0.2500 0.8544  2 Pd 3.21, 1 Cd 3.59
5 Ba 0.2528 0.5540 0.0422  2 Pd 3.18-3.20
6 Ba 0.2528 0.9460 0.0422  2 Pd 3.18-3.20
7 Ba 0.3576 0.2500 0.5256  2 Pd 3.25
8 Ba 0.3579 0.5670 0.7075  2 Pd 3.19-3.20
9 Ba 0.3579 0.9330 0.7075  2 Pd 3.19-3.20
10 Ba 0.6421 0.0670 0.2925  2 Pd 3.19-3.20
11 Ba 0.6421 0.4330 0.2925  2 Pd 3.19-3.20
12 Ba 0.6424 0.7500 0.4744  2 Pd 3.25
13 Ba 0.7472 0.0540 0.9578  2 Pd 3.18-3.20
14 Ba 0.7472 0.4460 0.9578  2 Pd 3.18-3.20
15 Ba 0.7965 0.7500 0.1456  2 Pd 3.21, 1 Cd 3.59
16 Ba 0.8456 0.0690 0.6211  2 Pd 3.17
17 Ba 0.8456 0.4310 0.6211  2 Pd 3.17
18 Ba 0.9187 0.7500 0.7999  2 Pd 3.25, 1 Cd 3.61
19 Cd 0.4717 0.2500 0.0874  6 Ba 3.59-3.77
20 Cd 0.5283 0.7500 0.9126  6 Ba 3.59-3.77
21 Pd 0.0516 0.0038 0.8289  6 Ba 3.17-3.25
22 Pd 0.0516 0.4962 0.8289  6 Ba 3.17-3.25
23 Pd 0.5000 0.0000 0.5000  6 Ba 3.17-3.25
24 Pd 0.5000 0.5000 0.5000  6 Ba 3.17-3.25
25 Pd 0.9484 0.5038 0.1711  6 Ba 3.17-3.25
26 Pd 0.9484 0.9962 0.1711  6 Ba 3.17-3.25

Entry 11:
Ba4CdPd: optimized geometry, GGA-PBE.

Values from the calculation:
As for the density of states at the Fermi level: 6.448 states/eV/f.u. As for the relative energy among the computed polymorphs: 0.0000 eV per atom. Its symmetry is C2/c (15).

a b c (Å): 10.0337 10.0337 7.9980
angles (deg): 107.70 107.70 117.32
Last column: nearest neighbours and their distance in Å.
Sites, in units of the cell vectors:
1 Ba 0.0654 0.6539 0.8657  1 Pd 3.17
2 Ba 0.2111 0.2883 0.7306  2 Pd 3.18-3.27
3 Ba 0.2883 0.2111 0.2306  2 Pd 3.18-3.27
4 Ba 0.3461 0.9346 0.6343  1 Pd 3.17
5 Ba 0.6539 0.0654 0.3657  1 Pd 3.17
6 Ba 0.7117 0.7889 0.7694  2 Pd 3.18-3.27
7 Ba 0.7889 0.7117 0.2694  2 Pd 3.18-3.27
8 Ba 0.9346 0.3461 0.1343  1 Pd 3.17
9 Cd 0.3722 0.6278 0.2500  8 Ba 3.56-3.81
10 Cd 0.6278 0.3722 0.7500  8 Ba 3.56-3.81
11 Pd 0.0693 0.9307 0.7500  6 Ba 3.17-3.27
12 Pd 0.9307 0.0693 0.2500  6 Ba 3.17-3.27

Entry 12:
Ba2Cd5Pd4: optimized geometry, GGA-PBE.

Values from the calculation:
As for the density of states at the Fermi level: 3.540 states/eV/f.u. As for the relative energy among the computed polymorphs: 0.0000 eV per atom. Its symmetry is Fmmm (69).

a b c (Å): 10.0760 9.0765 6.1272
angles (deg): 80.48 62.67 36.85
Last column: nearest neighbours and their distance in Å.
Sites, in units of the cell vectors:
1 Ba 0.1431 0.1431 0.8569  6 Pd 3.47-3.68, 4 Cd 3.57
2 Ba 0.8569 0.8569 0.1431  6 Pd 3.47-3.68, 4 Cd 3.57
3 Cd 0.0000 0.0000 0.5000  4 Pd 2.84, 4 Cd 3.03-3.06
4 Cd 0.2500 0.2500 0.2500  4 Pd 2.78, 2 Cd 3.03
5 Cd 0.5000 0.5000 0.0000  4 Pd 2.84, 4 Cd 3.03-3.06
6 Cd 0.5000 0.5000 0.5000  4 Pd 2.74, 4 Cd 3.06
7 Cd 0.7500 0.7500 0.7500  4 Pd 2.78, 2 Cd 3.03
8 Pd 0.2171 0.5278 0.4722  5 Cd 2.74-2.84
9 Pd 0.4722 0.7829 0.2171  5 Cd 2.74-2.84
10 Pd 0.5278 0.2171 0.7829  5 Cd 2.74-2.84
11 Pd 0.7829 0.4722 0.5278  5 Cd 2.74-2.84

| no. | energy relative to the elements (meV per atom) | calculated density (g/cm3) | size of the total moment (μB/cell) |
| --- | --- | --- | --- |
| 1 | -182 | 4.7 | 0.00 |
| 2 | -332 | 7.1 | 0.00 |
| 3 | -350 | 7.4 | 0.00 |
| 4 | -83 | 7.1 | 0.00 |
| 5 | -235 | 8.2 | 0.00 |
| 6 | -277 | 4.8 | 0.00 |
| 7 | -299 | 5.1 | 0.00 |
| 8 | -356 | 5.3 | 0.00 |
| 9 | -281 | 9.8 | 0.00 |
| 10 | -319 | 4.3 | 0.00 |
| 11 | -270 | 4.4 | 0.00 |
| 12 | -421 | 7.6 | 0.00 |